Record 1
DFT (GGA-PBE) results for a relaxed structure of ThRuPt.

Summary:
Formation enthalpy at 0 K   -0.6453 eV/atom
ΔE to the lowest computed polymorph   0 meV/atom
DOS(E_F)   0.5 states/eV/f.u.

Unit cell a=3.893 b=4.393 c=4.393 alpha=120.00 beta=90.00 gamma=90.00
Fractional positions:
Ru (0.167, 0.333, 0.667)
Th (0.667, 0.667, 0.333)
Pt (0.167, 0.000, 0.000)

Record 2
DFT (GGA-PBE) results for a relaxed structure of ErSi3NiOs.

Summary:
Formation energy without anion corrections   -0.332 eV per atom
DOS(E_F)   3.0 states/eV/f.u.

Unit cell a=5.590 b=6.025 c=7.160 alpha=114.88 beta=90.00 gamma=90.00
Fractional positions:
Os (0.250, 0.385, 0.770)
Os (0.750, 0.615, 0.230)
Si (0.000, 0.291, 0.000)
Si (0.250, 0.211, 0.423)
Si (0.750, 0.789, 0.577)
Si (0.000, 0.709, 0.000)
Si (0.500, 0.709, 0.000)
Si (0.500, 0.291, 0.000)
Er (0.750, 0.186, 0.371)
Er (0.250, 0.814, 0.629)
Ni (0.750, 0.954, 0.909)
Ni (0.250, 0.046, 0.091)

Record 3
DFT (GGA-PBE) results for a relaxed structure of NpHSBr.

Summary:
Calculated total energy   -25.942 eV per cell
DOS(E_F)   7.7 states/eV/f.u.

Unit cell a=3.811 b=3.811 c=7.435 alpha=90.05 beta=104.80 gamma=120.00
Fractional positions:
Br (0.348, 0.039, 0.387)
Np (0.492, 0.610, 0.102)
S (0.015, 0.872, 0.887)
H (0.838, 0.283, 0.121)

Record 4
DFT (GGA-PBE) results for a relaxed structure of Ba4PtI4.

Summary:
Formation energy without anion corrections   -1.398 eV per atom
DOS(E_F)   4.0 states/eV/f.u.

Unit cell a=4.815 b=9.028 c=10.871 alpha=74.52 beta=77.20 gamma=74.53
Fractional positions:
Ba (0.924, 0.254, 0.899)
Ba (0.323, 0.092, 0.262)
Ba (0.076, 0.746, 0.101)
Ba (0.677, 0.908, 0.738)
I (0.882, 0.817, 0.419)
I (0.118, 0.183, 0.581)
I (0.297, 0.596, 0.811)
I (0.703, 0.404, 0.189)
Pt (0.500, 0.000, 0.000)

Record 5
DFT (GGA-PBE) results for a relaxed structure of CaPrMgZn.

Summary:
Formation enthalpy at 0 K   -0.1647 eV/atom
ΔE to the lowest computed polymorph   12 meV/atom
DOS(E_F)   3.1 states/eV/f.u.

Unit cell a=5.385 b=5.385 c=5.385 alpha=60.00 beta=60.00 gamma=60.00
Fractional positions:
Pr (0.750, 0.750, 0.750)
Ca (0.250, 0.250, 0.250)
Zn (0.000, 0.000, 0.000)
Mg (0.500, 0.500, 0.500)

Record 6
DFT (GGA-PBE) results for a relaxed structure of Mg2Ag2Au5.

Summary:
Formation enthalpy at 0 K   -0.1834 eV/atom
ΔE to the lowest computed polymorph   108 meV/atom
DOS(E_F)   1.8 states/eV/f.u.

Unit cell a=7.358 b=6.995 c=8.565 alpha=114.10 beta=115.44 gamma=90.00
Fractional positions:
Au (0.280, 0.760, 0.900)
Au (0.538, 0.662, 0.703)
Au (0.121, 0.260, 0.900)
Au (0.720, 0.860, 0.100)
Au (0.066, 0.583, 0.500)
Au (0.462, 0.959, 0.297)
Au (0.335, 0.459, 0.297)
Au (0.934, 0.083, 0.500)
Au (0.879, 0.360, 0.100)
Au (0.665, 0.162, 0.703)
Ag (0.888, 0.508, 0.720)
Ag (0.332, 0.008, 0.720)
Ag (0.112, 0.788, 0.280)
Ag (0.668, 0.288, 0.280)
Mg (0.282, 0.250, 0.500)
Mg (0.500, 0.466, 0.000)
Mg (0.718, 0.750, 0.500)
Mg (0.000, 0.966, 0.000)

Record 7
DFT (GGA-PBE) results for a relaxed structure of TbSm2Zn.

Summary:
Formation enthalpy at 0 K   -0.1497 eV/atom
ΔE to the lowest computed polymorph   0 meV/atom
DOS(E_F)   3.9 states/eV/f.u.

Unit cell a=3.628 b=3.628 c=8.697 alpha=90.00 beta=90.00 gamma=90.00
Fractional positions:
Tb (0.500, 0.500, 0.500)
Sm (0.000, 0.000, 0.790)
Sm (0.000, 0.000, 0.210)
Zn (0.500, 0.500, 0.000)

Record 8
DFT (GGA-PBE) results for a relaxed structure of Y2ErPu.

Summary:
Formation enthalpy at 0 K   0.1097 eV/atom
ΔE to the lowest computed polymorph   13 meV/atom
DOS(E_F)   10.3 states/eV/f.u.

Unit cell a=3.500 b=3.500 c=10.031 alpha=90.00 beta=90.00 gamma=90.00
Fractional positions:
Er (0.500, 0.500, 0.000)
Y (0.000, 0.000, 0.254)
Y (0.000, 0.000, 0.746)
Pu (0.500, 0.500, 0.500)

Record 9
DFT (GGA-PBE) results for a relaxed structure of NpSc2F11.

Summary:
Formation energy without anion corrections   -3.569 eV per atom
DOS(E_F)   9.3 states/eV/f.u.

Unit cell a=7.571 b=8.253 c=8.253 alpha=72.85 beta=62.70 gamma=62.70
Fractional positions:
F (0.133, 0.228, 0.772)
F (0.647, 0.698, 0.572)
F (0.500, 0.500, 0.500)
F (0.367, 0.728, 0.272)
F (0.867, 0.772, 0.228)
F (0.583, 0.198, 0.072)
F (0.853, 0.928, 0.802)
F (0.949, 0.834, 0.466)
F (0.417, 0.802, 0.928)
F (0.917, 0.428, 0.302)
F (0.551, 0.034, 0.666)
F (0.449, 0.966, 0.334)
F (0.000, 0.000, 0.000)
F (0.249, 0.534, 0.166)
F (0.749, 0.666, 0.034)
F (0.251, 0.334, 0.966)
F (0.353, 0.302, 0.428)
F (0.751, 0.466, 0.834)
F (0.083, 0.572, 0.698)
F (0.051, 0.166, 0.534)
F (0.147, 0.072, 0.198)
F (0.633, 0.272, 0.728)
Sc (0.872, 0.182, 0.818)
Sc (0.128, 0.818, 0.182)
Sc (0.628, 0.682, 0.318)
Sc (0.372, 0.318, 0.682)
Np (0.750, 0.750, 0.750)
Np (0.250, 0.250, 0.250)

Record 10
DFT (GGA-PBE) results for a relaxed structure of Tm5ScHg3.

Summary:
Formation enthalpy at 0 K   -0.3154 eV/atom
DOS(E_F)   3.6 states/eV/f.u.

Unit cell a=6.695 b=8.923 c=8.923 alpha=120.00 beta=90.00 gamma=90.00
Fractional positions:
Sc (0.000, 0.000, 0.000)
Sc (0.500, 0.000, 0.000)
Tm (0.500, 0.667, 0.333)
Tm (0.750, 0.324, 0.000)
Tm (0.750, 0.676, 0.676)
Tm (0.750, 0.000, 0.324)
Tm (0.500, 0.333, 0.667)
Tm (0.000, 0.667, 0.333)
Tm (0.000, 0.333, 0.667)
Tm (0.250, 0.324, 0.324)
Tm (0.250, 0.676, 0.000)
Tm (0.250, 0.000, 0.676)
Hg (0.750, 0.339, 0.339)
Hg (0.750, 0.000, 0.661)
Hg (0.250, 0.339, 0.000)
Hg (0.250, 0.000, 0.339)
Hg (0.750, 0.661, 0.000)
Hg (0.250, 0.661, 0.661)

Record 11
DFT (GGA-PBE) results for a relaxed structure of CoCu2Ru.

Summary:
Formation enthalpy at 0 K   0.7225 eV/atom
ΔE to the lowest computed polymorph   567 meV/atom
DOS(E_F)   6.2 states/eV/f.u.

Unit cell a=6.669 b=6.669 c=5.315 alpha=51.14 beta=51.14 gamma=90.00
Fractional positions:
Co (0.500, 0.500, 0.000)
Co (0.250, 0.750, 0.500)
Cu (0.375, 0.392, 0.750)
Cu (0.608, 0.125, 0.250)
Cu (0.875, 0.858, 0.750)
Cu (0.142, 0.625, 0.250)
Ru (0.750, 0.250, 0.500)
Ru (0.000, 0.000, 0.000)

Record 12
DFT (GGA-PBE) results for a relaxed structure of Rb2Pb3Se4.

Summary:
Formation energy without anion corrections   -0.700 eV per atom

Unit cell a=8.077 b=9.036 c=9.036 alpha=90.55 beta=87.89 gamma=87.89
Fractional positions:
Se (0.551, 0.224, 0.536)
Se (0.437, 0.233, 0.997)
Se (0.937, 0.997, 0.233)
Se (0.051, 0.536, 0.224)
Se (0.449, 0.776, 0.464)
Se (0.949, 0.464, 0.776)
Se (0.563, 0.767, 0.003)
Se (0.063, 0.003, 0.767)
Rb (0.114, 0.245, 0.470)
Rb (0.386, 0.530, 0.755)
Rb (0.886, 0.755, 0.530)
Rb (0.614, 0.470, 0.245)
Pb (0.415, 0.988, 0.745)
Pb (0.915, 0.745, 0.988)
Pb (0.085, 0.255, 0.012)
Pb (0.250, 0.790, 0.210)
Pb (0.750, 0.210, 0.790)
Pb (0.585, 0.012, 0.255)